(1)
Material: In3Pt2
Method: DFT, meta-GGA SCAN
State: PBEsol geometry

ρ ... 12.37 g/cm3
Calculated formation energy ... -0.586 eV per atom
Space-group type ... No. 164

Unit cell a=4.5380 b=4.5380 c=5.5309 alpha=90.00 beta=90.00 gamma=120.00
Fractional coordinates of all 5 atoms:
In 0.0000 0.0000 0.0000
In 0.3333 0.6667 0.6489
In 0.6667 0.3333 0.3511
Pt 0.3333 0.6667 0.1598
Pt 0.6667 0.3333 0.8402

---

(2)
Material: InPt3
Method: DFT, meta-GGA SCAN
State: PBEsol geometry

ρ ... 18.05 g/cm3
Calculated formation energy ... -0.212 eV per atom
Space-group type ... No. 71

Unit cell a=2.8553 b=4.7446 c=9.5071 alpha=90.00 beta=90.00 gamma=90.00
Fractional coordinates of all 8 atoms:
In 0.0000 0.0000 0.0000
In 0.5000 0.5000 0.5000
Pt 0.0000 0.0000 0.5000
Pt 0.0000 0.5000 0.2511
Pt 0.0000 0.5000 0.7489
Pt 0.5000 0.0000 0.2489
Pt 0.5000 0.0000 0.7511
Pt 0.5000 0.5000 0.0000

---

(3)
Material: In3Pt4
Method: DFT, meta-GGA SCAN
State: PBEsol geometry

ρ ... 14.97 g/cm3
Calculated formation energy ... -0.495 eV per atom
Space-group type ... No. 1

Unit cell a=7.0884 b=7.1011 c=8.8166 alpha=107.86 beta=108.18 gamma=103.28
Fractional coordinates of all 21 atoms:
In 0.0000 0.0000 0.0000
In 0.0044 0.9949 0.5768
In 0.0508 0.3192 0.3821
In 0.1170 0.6539 0.7468
In 0.1259 0.6561 0.2143
In 0.5185 0.5329 0.0511
In 0.5500 0.0775 0.1943
In 0.5558 0.0724 0.6957
In 0.5728 0.5833 0.5766
Pt 0.0603 0.3307 0.8846
Pt 0.3121 0.0806 0.8869
Pt 0.3168 0.0874 0.3888
Pt 0.3295 0.3734 0.2257
Pt 0.3314 0.3705 0.7021
Pt 0.5600 0.8229 0.8835
Pt 0.5649 0.8276 0.3872
Pt 0.7731 0.2823 0.5547
Pt 0.7781 0.2813 0.0500
Pt 0.8151 0.5727 0.8853
Pt 0.8159 0.5674 0.3814
Pt 0.8657 0.8811 0.2264

---

(4)
Material: InPt3
Method: DFT, meta-GGA SCAN
State: PBEsol geometry

ρ ... 9.57 g/cm3
Calculated formation energy ... 1.826 eV per atom
Space-group type ... No. 221

Unit cell a=4.9517 b=4.9517 c=4.9517 alpha=90.00 beta=90.00 gamma=90.00
Fractional coordinates of all 4 atoms:
In 0.0000 0.0000 0.0000
Pt 0.0000 0.0000 0.5000
Pt 0.0000 0.5000 0.0000
Pt 0.5000 0.0000 0.0000

---

(5)
Material: InPt2
Method: DFT, meta-GGA SCAN
State: PBEsol geometry

ρ ... 17.14 g/cm3
Calculated formation energy ... -0.435 eV per atom
Space-group type ... No. 10

Unit cell a=5.6608 b=4.0714 c=16.9992 alpha=90.00 beta=92.44 gamma=90.00
Fractional coordinates of all 24 atoms:
In 0.0096 0.0000 0.3310
In 0.2405 0.5000 0.9162
In 0.2722 0.5000 0.5758
In 0.2908 0.5000 0.2392
In 0.7092 0.5000 0.7608
In 0.7278 0.5000 0.4242
In 0.7595 0.5000 0.0838
In 0.9904 0.0000 0.6690
Pt 0.0000 0.0000 0.0000
Pt 0.0000 0.0000 0.5000
Pt 0.0197 0.0000 0.1673
Pt 0.2210 0.5000 0.7456
Pt 0.2340 0.5000 0.4102
Pt 0.2561 0.5000 0.0797
Pt 0.4758 0.0000 0.8351
Pt 0.4905 0.0000 0.6670
Pt 0.5000 0.0000 0.0000
Pt 0.5000 0.0000 0.5000
Pt 0.5095 0.0000 0.3330
Pt 0.5242 0.0000 0.1649
Pt 0.7439 0.5000 0.9203
Pt 0.7660 0.5000 0.5898
Pt 0.7790 0.5000 0.2544
Pt 0.9803 0.0000 0.8327

---

(6)
Material: InPt3
Method: DFT, meta-GGA SCAN
State: PBEsol geometry

ρ ... 18.20 g/cm3
Calculated formation energy ... -0.291 eV per atom
Space-group type ... No. 65

Unit cell a=5.6489 b=7.5806 c=2.9825 alpha=90.00 beta=90.00 gamma=90.00
Fractional coordinates of all 8 atoms:
In 0.0000 0.0000 0.0000
In 0.5000 0.5000 0.0000
Pt 0.0000 0.5000 0.0000
Pt 0.2500 0.2500 0.5000
Pt 0.2500 0.7500 0.5000
Pt 0.5000 0.0000 0.0000
Pt 0.7500 0.2500 0.5000
Pt 0.7500 0.7500 0.5000

---

(7)
Material: Rb3InPt
Method: DFT, meta-GGA SCAN
State: PBEsol geometry

ρ ... 3.82 g/cm3
Calculated formation energy ... 0.205 eV per atom
Space-group type ... No. 221

Unit cell a=6.2695 b=6.2695 c=6.2695 alpha=90.00 beta=90.00 gamma=90.00
Fractional coordinates of all 5 atoms:
Rb 0.0000 0.0000 0.5000
Rb 0.0000 0.5000 0.0000
Rb 0.5000 0.0000 0.0000
In 0.5000 0.5000 0.5000
Pt 0.0000 0.0000 0.0000

---

(8)
Material: RbInRePt2
Method: DFT, meta-GGA SCAN
State: PBEsol geometry

ρ ... 9.90 g/cm3
Calculated formation energy ... 1.471 eV per atom
Space-group type ... No. 123

Unit cell a=5.0554 b=5.0554 c=5.0963 alpha=90.00 beta=90.00 gamma=90.00
Fractional coordinates of all 5 atoms:
Rb 0.0000 0.0000 0.0000
In 0.5000 0.5000 0.5000
Re 0.5000 0.5000 0.0000
Pt 0.0000 0.5000 0.5000
Pt 0.5000 0.0000 0.5000

---

(9)
Material: InRe2Pt
Method: DFT, meta-GGA SCAN
State: PBEsol geometry

ρ ... 17.49 g/cm3
Calculated formation energy ... 0.373 eV per atom
Space-group type ... No. 10

Unit cell a=2.8235 b=4.9207 c=4.6629 alpha=90.00 beta=90.15 gamma=90.00
Fractional coordinates of all 4 atoms:
In 0.0000 0.0000 0.0000
Re 0.3094 0.5000 0.2465
Re 0.6906 0.5000 0.7535
Pt 0.5000 0.0000 0.5000

---

(10)
Material: InRe2Pt
Method: DFT, meta-GGA SCAN
State: PBEsol geometry

ρ ... 17.86 g/cm3
Calculated formation energy ... 0.634 eV per atom
Space-group type ... No. 123

Unit cell a=4.7784 b=4.7784 c=2.7776 alpha=90.00 beta=90.00 gamma=90.00
Fractional coordinates of all 4 atoms:
In 0.0000 0.0000 0.0000
Re 0.0000 0.5000 0.5000
Re 0.5000 0.0000 0.5000
Pt 0.5000 0.5000 0.0000

---

(11)
Material: InRe2Pt
Method: DFT, meta-GGA SCAN
State: PBEsol geometry

ρ ... 17.85 g/cm3
Calculated formation energy ... 0.448 eV per atom
Space-group type ... No. 216

Unit cell a=6.3321 b=6.3321 c=6.3321 alpha=90.00 beta=90.00 gamma=90.00
Fractional coordinates of all 16 atoms:
In 0.0000 0.0000 0.0000
In 0.0000 0.5000 0.5000
In 0.5000 0.0000 0.5000
In 0.5000 0.5000 0.0000
Re 0.0000 0.0000 0.5000
Re 0.0000 0.5000 0.0000
Re 0.2500 0.2500 0.7500
Re 0.2500 0.7500 0.2500
Re 0.5000 0.0000 0.0000
Re 0.5000 0.5000 0.5000
Re 0.7500 0.2500 0.2500
Re 0.7500 0.7500 0.7500
Pt 0.2500 0.2500 0.2500
Pt 0.2500 0.7500 0.7500
Pt 0.7500 0.2500 0.7500
Pt 0.7500 0.7500 0.2500

---

(12)
Material: InRePt
Method: DFT, meta-GGA SCAN
State: PBEsol geometry

ρ ... 16.78 g/cm3
Calculated formation energy ... 0.456 eV per atom
Space-group type ... No. 187

Unit cell a=4.5554 b=4.5554 c=2.7314 alpha=90.00 beta=90.00 gamma=120.00
Fractional coordinates of all 3 atoms:
In 0.0000 0.0000 0.0000
Re 0.3333 0.6667 0.5000
Pt 0.6667 0.3333 0.0000